Here is BePbSe2 at its PBEsol-relaxed geometry from Alexandria via LeMat-Bulk. Energies are from meta-GGA SCAN.

The space group is P4mm (No. 99) and the conventional cell measures 3.5781, 3.5781 and 7.2985 Å, with angles of 90.00, 90.00 and 90.00 degrees. The asymmetric unit holds Be at (0.0000, 0.0000, 0.0000), Pb at (0.5000, 0.5000, 0.4961), Se at (0.0000, 0.0000, 0.3040) and Se at (0.5000, 0.5000, 0.9295).

As for the final energy: -121.155 eV for the cell shown. For the formation energy (no corrections), the calculation gives -0.216 eV/atom. As for the volume: 93 Å³/cell.